First-principles (PBE) data for Mg2FeOs after structural relaxation, as listed in Alexandria via LeMat-Bulk.

Lattice parameters (Å, degrees): 4.7862 4.7862 4.8996 82.20 82.20 33.09
Closest atoms and distances in Å follow each position.
Fractional positions:
Mg: 0.9997 0.9997 0.9994  6 Mg 2.73-2.81, 3 Os 2.75-2.80, 3 Fe 2.75-2.80
Mg: 0.5003 0.5003 0.5006  6 Mg 2.73-2.81, 3 Os 2.75-2.80, 3 Fe 2.75-2.80
Os: 0.7500 0.7500 0.7500  2 Os 2.73, 6 Mg 2.75-2.80, 4 Fe 2.80
Fe: 0.2500 0.2500 0.2500  2 Fe 2.73, 6 Mg 2.75-2.80, 4 Os 2.80

Calculated values
Total energy (eV per atom): -5.439
ρ (g/cm3): 8.067
Polymorph energy (0 for the lowest one) (meV per atom): 170
Crystal system: monoclinic
Space group: C2/m (12)
Energy of formation (eV/atom): 0.28

---

First-principles (PBE) data for AgTeO2F after structural relaxation, as listed in Alexandria via LeMat-Bulk.

Lattice parameters (Å, degrees): 4.1649 5.7437 7.4503 90.20 90.00 90.00
Closest atoms and distances in Å follow each position.
Fractional positions:
Te: 0.7500 0.1789 0.1236  1 O 1.86
Te: 0.2500 0.8211 0.8764  1 O 1.86
Ag: 0.7500 0.2078 0.6101  3 O 2.39-2.60, 1 F 2.49
Ag: 0.2500 0.7922 0.3899  3 O 2.39-2.60, 1 F 2.49
F: 0.7500 0.4424 0.3294  1 Te 2.15
F: 0.2500 0.5576 0.6706  1 Te 2.15
O: 0.7500 0.9689 0.3136  1 Te 1.86
O: 0.7500 0.9056 0.9237  3 Te 2.16-2.17
O: 0.2500 0.0311 0.6864  1 Te 1.86
O: 0.2500 0.0944 0.0763  3 Te 2.16-2.17

Calculated values
Raw formation energy (meV per atom): -966
Total energy (eV per atom): -4.522
ρ (g/cm3): 5.338
Crystal system: monoclinic
Space group: P2_1/m (11)

---

First-principles (PBE) data for SmGaTeO6 after structural relaxation, as listed in Alexandria via LeMat-Bulk.

Lattice parameters (Å, degrees): 5.1889 5.1889 10.1304 90.00 90.00 120.00
Closest atoms and distances in Å follow each position.
Fractional positions:
O: 0.9914 0.3620 0.6418  1 Te 1.95, 1 Ga 2.01
O: 0.0086 0.6380 0.3582  1 Te 1.95, 1 Ga 2.01
O: 0.9914 0.6294 0.8582  1 Te 1.95, 1 Ga 2.01
O: 0.6380 0.6294 0.6418  1 Te 1.95, 1 Ga 2.01
O: 0.3706 0.3620 0.8582  1 Te 1.95, 1 Ga 2.01
O: 0.6294 0.6380 0.1418  1 Te 1.95, 1 Ga 2.01
O: 0.0086 0.3706 0.1418  1 Te 1.95, 1 Ga 2.01
O: 0.3620 0.9914 0.1418  1 Te 1.95, 1 Ga 2.01
O: 0.6294 0.9914 0.3582  1 Te 1.95, 1 Ga 2.01
O: 0.3706 0.0086 0.6418  1 Te 1.95, 1 Ga 2.01
O: 0.3620 0.3706 0.3582  1 Te 1.95, 1 Ga 2.01
O: 0.6380 0.0086 0.8582  1 Te 1.95, 1 Ga 2.01
Sm: 0.0000 0.0000 0.5000  6 O 2.38
Sm: 0.0000 0.0000 0.0000  6 O 2.38
Ga: 0.6667 0.3333 0.2500  6 O 2.01
Ga: 0.3333 0.6667 0.7500  6 O 2.01
Te: 0.3333 0.6667 0.2500  6 O 1.95
Te: 0.6667 0.3333 0.7500  6 O 1.95

Calculated values
Raw formation energy (meV per atom): -2013
Total energy (eV per atom): -6.529
ρ (g/cm3): 6.238
Crystal system: trigonal
Space group: P-31c (163)

---

First-principles (PBE) data for GaSi2BiIr after structural relaxation, as listed in Alexandria via LeMat-Bulk.

Lattice parameters (Å, degrees): 4.5227 6.0853 4.5227 90.00 90.00 90.00
Closest atoms and distances in Å follow each position.
Fractional positions:
Bi: 0.0000 0.5000 0.0000  2 Ir 3.04, 4 Ga 3.20
Ir: 0.0000 0.0000 0.0000  4 Si 2.26
Si: 0.0000 0.0000 0.5000  2 Ir 2.26
Si: 0.5000 0.0000 0.0000  2 Ir 2.26
Ga: 0.5000 0.5000 0.5000  4 Bi 3.20

Calculated values
Raw formation energy (meV per atom): 278
Total energy (eV per atom): -5.045
ρ (g/cm3): 7.032
Crystal system: tetragonal
Space group: P4/mmm (123)